## w
Entry from Alexandria via LeMat-Bulk: a relaxed CaPdCl2 crystal (GGA-PBE).

Lattice parameters (Å, degrees): 4.940 4.940 15.822 90.00 90.00 90.00
Space group I-42d (No. 122)
Unique sites:
Ca 0.000 0.000 0.000 [4 per cell]
Pd 0.000 0.000 0.500 [4 per cell]
Cl 0.230 0.250 0.625 [8 per cell]

N(E_F) in states/eV per cell: 0.0
Spin magnetization in μB/f.u.: 0.000
Crystal system: tetragonal
ρ in Mg/m³: 3.7
V in Å³/atom: 24.1

=====

## x
Entry from Alexandria via LeMat-Bulk: a relaxed CaPdCl2 crystal (GGA-PBE).

Lattice parameters (Å, degrees): 4.2677 4.2677 21.4748 90.00 90.00 120.00
Space group R-3m (No. 166, hexagonal axes)
Unique sites:
Ca 0.0000 0.0000 0.0000 [3 per cell]
Pd 0.0000 0.0000 0.5000 [3 per cell]
Cl 0.0000 0.0000 0.3923 [6 per cell]

N(E_F) in states/eV per cell: 0.0
Spin magnetization in μB/f.u.: 0.000
Crystal system: trigonal
ρ in Mg/m³: 3.2
V in Å³/atom: 28.2

=====

Which structure wins on stability? x wins.

=====

## w
Entry from Alexandria via LeMat-Bulk: a relaxed CaPd3Cl crystal (GGA-PBE).

Lattice parameters (Å, degrees): 4.702 4.702 4.702 90.00 90.00 90.00
Space group Pm-3m (No. 221)
Unique sites:
Ca 0.000 0.000 0.000 [1 per cell]
Pd 0.000 0.500 0.500 [3 per cell]
Cl 0.500 0.500 0.500 [1 per cell]

N(E_F) in states/eV per cell: 3.3
Spin magnetization in μB/f.u.: 0.000
Crystal system: cubic
ρ in Mg/m³: 6.3
V in Å³/atom: 20.8

=====

## x
Entry from Alexandria via LeMat-Bulk: a relaxed CaPd3Cl crystal (GGA-PBE).

Lattice parameters (Å, degrees): 5.038 5.038 5.038 90.00 90.00 90.00
Space group Pm-3m (No. 221)
Unique sites:
Ca 0.000 0.000 0.000 [1 per cell]
Pd 0.000 0.000 0.500 [3 per cell]
Cl 0.500 0.500 0.500 [1 per cell]

N(E_F) in states/eV per cell: 3.5
Spin magnetization in μB/f.u.: 0.000
Crystal system: cubic
ρ in Mg/m³: 5.1
V in Å³/atom: 25.6

=====

Which structure wins on stability? w wins.

=====

## w
Entry from Alexandria via LeMat-Bulk: a relaxed CaPdS2Cl crystal (GGA-PBE).

Lattice parameters (Å, degrees): 4.772 4.772 4.823 90.00 90.00 90.00
Space group P4/mmm (No. 123)
Unique sites:
Ca 0.000 0.000 0.000 [1 per cell]
Pd 0.500 0.500 0.500 [1 per cell]
S 0.000 0.500 0.500 [2 per cell]
Cl 0.500 0.500 0.000 [1 per cell]

N(E_F) in states/eV per cell: 3.9
Spin magnetization in μB/f.u.: 0.000
Crystal system: tetragonal
ρ in Mg/m³: 3.7
V in Å³/atom: 22.0

=====

## x
Entry from Alexandria via LeMat-Bulk: a relaxed CaPdS2Cl crystal (GGA-PBE).

Lattice parameters (Å, degrees): 5.370 5.370 5.145 90.00 90.00 90.00
Space group P4/mmm (No. 123)
Unique sites:
Ca 0.000 0.000 0.000 [1 per cell]
Pd 0.500 0.500 0.500 [1 per cell]
S 0.000 0.500 0.000 [2 per cell]
Cl 0.000 0.000 0.500 [1 per cell]

N(E_F) in states/eV per cell: 6.8
Spin magnetization in μB/f.u.: 3.013
Crystal system: tetragonal
ρ in Mg/m³: 2.8
V in Å³/atom: 29.7

=====

Which structure wins on stability? w wins.